# PBE ReTeOs, relaxed
# density of states at the Fermi level = 3.38 states/eV/f.u.
# symmetry = Fmm2
# calculated total energy = -94.7 eV/cell
# raw formation energy = 3.1 eV/f.u.
# energy above the lowest structure with this stoichiometry = 383 meV per atom
data_ReTeOs
_chemical_formula_sum 'Re4 Te4 Os4'
_cell_length_a 2.921
_cell_length_b 5.074
_cell_length_c 14.815
_cell_angle_alpha 90.00
_cell_angle_beta 90.00
_cell_angle_gamma 90.00
_symmetry_space_group_name_H-M 'P 1'
_symmetry_Int_Tables_number 1
loop_
_symmetry_equiv_pos_as_xyz
'x,y,z'
loop_
_atom_site_label
_atom_site_fract_x
_atom_site_fract_y
_atom_site_fract_z
Re1 0.000 0.000 0.000
Re2 0.000 0.500 0.500
Re3 0.500 0.000 0.500
Re4 0.500 0.500 0.000
Te1 0.000 0.000 0.319
Te2 0.000 0.500 0.819
Te3 0.500 0.000 0.819
Te4 0.500 0.500 0.319
Os1 0.000 0.000 0.639
Os2 0.000 0.500 0.139
Os3 0.500 0.000 0.139
Os4 0.500 0.500 0.639

# PBE ReTeOs2, relaxed
# density of states at the Fermi level = 4.09 states/eV/f.u.
# symmetry = Pmmm
# calculated total energy = -34.4 eV/cell
# raw formation energy = 3.6 eV/f.u.
data_ReTeOs2
_chemical_formula_sum 'Re1 Te1 Os2'
_cell_length_a 2.976
_cell_length_b 4.631
_cell_length_c 4.707
_cell_angle_alpha 90.00
_cell_angle_beta 90.00
_cell_angle_gamma 90.00
_symmetry_space_group_name_H-M 'P 1'
_symmetry_Int_Tables_number 1
loop_
_symmetry_equiv_pos_as_xyz
'x,y,z'
loop_
_atom_site_label
_atom_site_fract_x
_atom_site_fract_y
_atom_site_fract_z
Re1 0.000 0.000 0.000
Te1 0.500 0.000 0.500
Os1 0.000 0.500 0.500
Os2 0.500 0.500 0.000

# PBE ReTeOs2, relaxed
# density of states at the Fermi level = 2.88 states/eV/f.u.
# symmetry = I4/mmm
# calculated total energy = -69.5 eV/cell
# raw formation energy = 3.3 eV/f.u.
data_ReTeOs2
_chemical_formula_sum 'Re2 Te2 Os4'
_cell_length_a 4.045
_cell_length_b 4.045
_cell_length_c 7.805
_cell_angle_alpha 90.00
_cell_angle_beta 90.00
_cell_angle_gamma 90.00
_symmetry_space_group_name_H-M 'P 1'
_symmetry_Int_Tables_number 1
loop_
_symmetry_equiv_pos_as_xyz
'x,y,z'
loop_
_atom_site_label
_atom_site_fract_x
_atom_site_fract_y
_atom_site_fract_z
Re1 0.000 0.000 0.000
Re2 0.500 0.500 0.500
Te1 0.000 0.000 0.500
Te2 0.500 0.500 0.000
Os1 0.000 0.500 0.250
Os2 0.000 0.500 0.750
Os3 0.500 0.000 0.250
Os4 0.500 0.000 0.750

# PBE ReTeOs, relaxed
# density of states at the Fermi level = 2.43 states/eV/f.u.
# symmetry = Imm2
# calculated total energy = -48.0 eV/cell
# raw formation energy = 2.8 eV/f.u.
# energy above the lowest structure with this stoichiometry = 270 meV per atom
data_ReTeOs
_chemical_formula_sum 'Re2 Te2 Os2'
_cell_length_a 3.001
_cell_length_b 4.086
_cell_length_c 8.308
_cell_angle_alpha 90.00
_cell_angle_beta 90.00
_cell_angle_gamma 90.00
_symmetry_space_group_name_H-M 'P 1'
_symmetry_Int_Tables_number 1
loop_
_symmetry_equiv_pos_as_xyz
'x,y,z'
loop_
_atom_site_label
_atom_site_fract_x
_atom_site_fract_y
_atom_site_fract_z
Re1 0.000 0.000 0.000
Re2 0.500 0.500 0.500
Te1 0.000 0.000 0.679
Te2 0.500 0.500 0.179
Os1 0.000 0.000 0.359
Os2 0.500 0.500 0.859

# PBE Re2TeOs, relaxed
# density of states at the Fermi level = 3.88 states/eV/f.u.
# symmetry = I-4m2
# calculated total energy = -71.8 eV/cell
# raw formation energy = 3.4 eV/f.u.
data_Re2TeOs
_chemical_formula_sum 'Re4 Te2 Os2'
_cell_length_a 4.052
_cell_length_b 4.052
_cell_length_c 7.846
_cell_angle_alpha 90.00
_cell_angle_beta 90.00
_cell_angle_gamma 90.00
_symmetry_space_group_name_H-M 'P 1'
_symmetry_Int_Tables_number 1
loop_
_symmetry_equiv_pos_as_xyz
'x,y,z'
loop_
_atom_site_label
_atom_site_fract_x
_atom_site_fract_y
_atom_site_fract_z
Re1 0.000 0.000 0.000
Re2 0.000 0.500 0.250
Re3 0.500 0.000 0.750
Re4 0.500 0.500 0.500
Te1 0.000 0.500 0.750
Te2 0.500 0.000 0.250
Os1 0.000 0.000 0.500
Os2 0.500 0.500 0.000

# PBE ReTeOs2, relaxed
# density of states at the Fermi level = 3.23 states/eV/f.u.
# symmetry = P4mm
# calculated total energy = -35.2 eV/cell
# raw formation energy = 2.9 eV/f.u.
data_ReTeOs2
_chemical_formula_sum 'Re1 Te1 Os2'
_cell_length_a 2.963
_cell_length_b 2.963
_cell_length_c 7.488
_cell_angle_alpha 90.00
_cell_angle_beta 90.00
_cell_angle_gamma 90.00
_symmetry_space_group_name_H-M 'P 1'
_symmetry_Int_Tables_number 1
loop_
_symmetry_equiv_pos_as_xyz
'x,y,z'
loop_
_atom_site_label
_atom_site_fract_x
_atom_site_fract_y
_atom_site_fract_z
Re1 0.000 0.000 0.000
Te1 0.500 0.500 0.281
Os1 0.000 0.000 0.529
Os2 0.500 0.500 0.782